First-principles (PBE) data for crystalline Zn2CdBrO at its relaxed geometry, as listed in Alexandria via LeMat-Bulk.

Computed properties:
The space group is P4/mmm.

abc: 4.079 4.079 7.273
angles: 90.00 90.00 90.00
Fractional coordinates of all 5 atoms:
Zn1 0.000 0.500 0.000
Zn2 0.500 0.000 0.000
Cd1 0.000 0.000 0.500
Br1 0.500 0.500 0.500
O1 0.500 0.500 0.000

First-principles (PBE) data for crystalline Cd2OsBr at its relaxed geometry, as listed in Alexandria via LeMat-Bulk.

Computed properties:
The value obtained for the offset from the most stable computed form is 202 meV/atom. The space group is Cmmm.

abc: 5.144 5.144 3.117
angles: 90.00 90.00 108.16
Fractional coordinates of all 4 atoms:
Cd1 0.000 0.500 0.000
Cd2 0.500 0.000 0.000
Os1 0.000 0.000 0.500
Br1 0.500 0.500 0.500

First-principles (PBE) data for crystalline Cd2OsBr at its relaxed geometry, as listed in Alexandria via LeMat-Bulk.

Computed properties:
The value obtained for the offset from the most stable computed form is 488 meV/atom. The space group is I4/mmm.

abc: 5.444 5.444 5.444
angles: 135.55 135.55 64.68
Fractional coordinates of all 4 atoms:
Cd1 0.250 0.750 0.500
Cd2 0.750 0.250 0.500
Os1 0.000 0.000 0.000
Br1 0.500 0.500 0.000

| no. | total moment (μB/cell) | E_tot (eV per atom) | formation energy (no corrections) (eV per formula unit) |
| --- | --- | --- | --- |
| 1 | 0.0 | -2.26 | -1.2 |
| 2 | 0.4 | -3.05 | 2.5 |
| 3 | 0.3 | -2.77 | 3.7 |